PaAlW | GGA-PBE | optimized geometry

Computed properties:
Density of states at the Fermi level: 1.36 states/eV per atom
Symmetry: Imma
Total DFT energy (no corrections): -8.831 eV/atom
Magnetization: 0.00 μB/cell
Calculated formation energy: -0.100 eV per atom
Offset from the most stable computed form: 0 meV per atom

a = 5.4681 Å, b = 5.4681 Å, c = 5.4681 Å
α = 119.74°, β = 119.04°, γ = 91.06°
Last column: nearest neighbours and their distance in Å.
Sites, in units of the cell vectors:
Pa1 0.3629 0.1129 0.2500  6 W 3.10-3.27, 6 Al 3.19-3.27, 4 Pa 3.27-3.46
Pa2 0.6371 0.8871 0.7500  6 W 3.10-3.27, 6 Al 3.19-3.27, 4 Pa 3.27-3.46
Al1 0.0000 0.5000 0.5000  4 W 2.73, 2 Al 2.77
Al2 0.5000 0.5000 0.0000  4 W 2.73, 2 Al 2.77
W1 0.0000 0.0000 0.5000  4 Al 2.73, 2 W 2.74
W2 0.0000 0.5000 0.0000  4 Al 2.73, 2 W 2.74